Compound: SrTl2WO
Source: Alexandria via LeMat-Bulk
Functional: GGA+U
Structure: relaxed

Output
Electronic total energy ... -3.759 eV per atom
DOS at the Fermi energy ... 0.3207 states/eV per atom
Spin magnetization ... 4.583 μB/cell

abc: 5.3252 5.3252 4.6952
angles: 90.00 90.00 90.00
Space group P4/mmm (No. 123)
Unique sites:
Sr 0.0000 0.0000 0.0000 x1
Tl 0.0000 0.5000 0.5000 x2
W 0.5000 0.5000 0.0000 x1
O 0.0000 0.0000 0.5000 x1